# 1
CdGaI4: optimized geometry, PBE.

Values from the calculation:
Raw formation energy, eV/atom: -0.291
SG: P4_2/mmc, No. 131
Total moment, μB/f.u.: 0.0
Calculated density, Mg/m³: 3.4
Raw total energy, eV/atom: -1.9812
Relative energy among the computed polymorphs, kJ/mol of formula units: 77

Unit cell a=8.184 b=8.184 c=10.027 alpha=90.00 beta=90.00 gamma=90.00
Fractional coordinates of all 12 atoms:
Cd 0.000 0.000 0.500
Cd 0.000 0.000 0.000
Ga 0.000 0.500 0.000
Ga 0.500 0.000 0.500
I 0.752 0.249 0.500
I 0.751 0.248 0.000
I 0.752 0.751 0.500
I 0.249 0.752 0.000
I 0.248 0.751 0.500
I 0.249 0.248 0.000
I 0.751 0.752 0.000
I 0.248 0.249 0.500


# 2
Sm2ZnCu3Si4: optimized geometry, PBE.

Values from the calculation:
Raw formation energy, eV/atom: -0.517
SG: P-4m2, No. 115
Total moment, μB/f.u.: 0.0
Calculated density, Mg/m³: 6.7
Raw total energy, eV/atom: -4.9866

Unit cell a=4.050 b=4.050 c=10.155 alpha=90.00 beta=90.00 gamma=90.00
Fractional coordinates of all 10 atoms:
Sm 0.500 0.000 0.249
Sm 0.000 0.500 0.751
Zn 0.500 0.500 0.500
Cu 0.000 0.000 0.500
Cu 0.500 0.000 0.871
Cu 0.000 0.500 0.129
Si 0.500 0.500 0.000
Si 0.000 0.000 0.000
Si 0.500 0.000 0.639
Si 0.000 0.500 0.361